Be2AsAu | GGA-PBE | optimized geometry

Cell: 2.9748 2.9748 21.4495 Å, 90.00 90.00 120.00°
With the nearest neighbours (Å) after each atom.
Space group R-3m (No. 166, hexagonal axes)
Unique sites:
Be 0.0000 0.0000 0.2503  3 As 2.47, 3 Au 2.48
As 0.0000 0.0000 0.0000  6 Be 2.47
Au 0.0000 0.0000 0.5000  6 Be 2.48

Computed properties:
Crystal system: trigonal
E_form (eV/atom): 0.19
DOS at the Fermi energy (states/eV/f.u.): 1.24